[1]
KRb3Na | PBE-GGA | relaxed

Its mass density is 1.394 g/cm³. Its energy of formation from the pure elements is 0.028 eV per atom.

```
data_KRb3Na
_cell_length_a 19.6529
_cell_length_b 18.8159
_cell_length_c 8.4780
_cell_angle_alpha 90.00
_cell_angle_beta 104.47
_cell_angle_gamma 90.00
_space_group_name_H-M_alt 'C 1 2/c 1'
_space_group_IT_number 15
_space_group_name_Hall '-C 2yc'
loop_
_atom_site_label
_atom_site_fract_x
_atom_site_fract_y
_atom_site_fract_z
K1 0.1046 0.0509 0.4831
Rb1 0.0820 0.2037 0.0309
Rb2 0.1692 0.3031 0.6104
Rb3 0.1891 0.4396 0.1068
Na1 0.0000 0.4005 0.2500
Na2 0.0000 0.4100 0.7500
```

=====

[2]
K2Rb2Na5 | PBE-GGA | relaxed

Its mass density is 1.180 g/cm³. Its energy of formation from the pure elements is 0.069 eV per atom.

```
data_K2Rb2Na5
_cell_length_a 21.3180
_cell_length_b 4.3830
_cell_length_c 14.6119
_cell_angle_alpha 90.00
_cell_angle_beta 131.36
_cell_angle_gamma 90.00
_space_group_name_H-M_alt 'C 1 2/m 1'
_space_group_IT_number 12
_space_group_name_Hall '-C 2y'
loop_
_atom_site_label
_atom_site_fract_x
_atom_site_fract_y
_atom_site_fract_z
K1 0.1187 0.0000 0.3434
Rb1 0.1339 0.5000 0.8275
Na1 0.0000 0.0000 0.5000
Na2 0.1020 0.0000 0.0478
Na3 0.2314 0.0000 0.6977
```

=====

[3]
K9Rb2Na3 | PBE-GGA | relaxed

Its mass density is 1.038 g/cm³. Its energy of formation from the pure elements is 0.022 eV per atom.

```
data_K9Rb2Na3
_cell_length_a 20.6247
_cell_length_b 12.3315
_cell_length_c 14.8843
_cell_angle_alpha 90.00
_cell_angle_beta 90.00
_cell_angle_gamma 90.00
_space_group_name_H-M_alt 'C m c m'
_space_group_IT_number 63
_space_group_name_Hall '-C 2c 2'
loop_
_atom_site_label
_atom_site_fract_x
_atom_site_fract_y
_atom_site_fract_z
K1 0.0000 0.1330 0.2500
K2 0.0000 0.3250 0.5378
K3 0.1147 0.4614 0.2500
K4 0.1777 0.1624 0.0837
Rb1 0.1496 0.1621 0.7500
Na1 0.0000 0.0000 0.0000
Na2 0.1687 0.5000 0.0000
```

=====

[4]
K2Rb3Na9 | PBE-GGA | relaxed

Its mass density is 1.199 g/cm³. Its energy of formation from the pure elements is 0.041 eV per atom.

```
data_K2Rb3Na9
_cell_length_a 6.3524
_cell_length_b 12.1216
_cell_length_c 19.4720
_cell_angle_alpha 90.00
_cell_angle_beta 90.00
_cell_angle_gamma 90.00
_space_group_name_H-M_alt 'I m m m'
_space_group_IT_number 71
_space_group_name_Hall '-I 2 2'
loop_
_atom_site_label
_atom_site_fract_x
_atom_site_fract_y
_atom_site_fract_z
K1 0.0000 0.2012 0.0000
Rb1 0.0000 0.0000 0.2118
Rb2 0.0000 0.0000 0.5000
Na1 0.0000 0.2926 0.3609
Na2 0.0000 0.3513 0.1793
Na3 0.0000 0.5000 0.5000
```